A PBEsol-optimized structure of YTe2P2, computed with SCAN.

abc: 3.633 3.633 17.912
angles: 90.00 90.00 90.00
Space group I4/mmm (No. 139)
Inequivalent atoms, fractional coordinates:
Y 0.000 0.000 0.000 [2 per cell]
Te 0.000 0.000 0.405 [4 per cell]
P 0.000 0.500 0.250 [4 per cell]

Values from the calculation:
The value obtained for the density of states at the Fermi level is 4.8 states/eV per cell. As for the formation energy without anion corrections: -174 meV/atom. For the total energy, the calculation gives -24.803 eV/atom.

=====

A PBEsol-optimized structure of LiMnMo2, computed with SCAN.

abc: 3.070 4.262 8.835
angles: 90.00 90.00 90.00
Space group Cmm2 (No. 35)
Inequivalent atoms, fractional coordinates:
Li 0.000 0.000 0.000 [2 per cell]
Mn 0.000 0.500 0.749 [2 per cell]
Mo 0.000 0.000 0.525 [2 per cell]
Mo 0.000 0.500 0.271 [2 per cell]

Values from the calculation:
The value obtained for the density of states at the Fermi level is 6.7 states/eV per cell. Its formation energy is 0.244 eV/atom. For the total energy, the calculation gives -22.360 eV/atom.

=====

A PBEsol-optimized structure of KCdOs2, computed with SCAN.

abc: 2.744 3.810 8.240
angles: 90.00 90.00 90.00
Space group Pmm2 (No. 25)
Inequivalent atoms, fractional coordinates:
K 0.000 0.000 0.000 [1 per cell]
Cd 0.500 0.500 0.663 [1 per cell]
Os 0.000 0.000 0.432 [1 per cell]
Os 0.500 0.500 0.314 [1 per cell]

Values from the calculation:
The value obtained for the density of states at the Fermi level is 2.7 states/eV per cell. Its formation energy is 0.487 eV/atom. For the total energy, the calculation gives -45.139 eV/atom.

=====

A PBEsol-optimized structure of CoAgRu2, computed with SCAN.

abc: 2.615 2.615 7.750
angles: 90.00 90.00 90.00
Space group P4/mmm (No. 123)
Inequivalent atoms, fractional coordinates:
Co 0.000 0.000 0.000 [1 per cell]
Ag 0.000 0.000 0.500 [1 per cell]
Ru 0.500 0.500 0.220 [2 per cell]

Values from the calculation:
The value obtained for the density of states at the Fermi level is 4.2 states/eV per cell. Its formation energy is 0.470 eV/atom. For the total energy, the calculation gives -29.111 eV/atom.